# 1
## Ba2SmSe3 (PBE)

Data for crystalline Ba2SmSe3 at its relaxed geometry.

Computed properties:
total moment	0.000	μB per atom
space-group type	Fddd, No. 70
raw formation energy	-1.94	eV/atom
Fermi-level density of states	5.20	states/eV/cell

Cell: 14.8888 14.1933 7.8287 Å, 79.35 69.53 31.12°
Fractional coordinates of all 24 atoms:
Ba: 0.0441 0.0441 0.2059
Ba: 0.1224 0.1224 0.6276
Ba: 0.2059 0.2059 0.0441
Ba: 0.3724 0.3724 0.8776
Ba: 0.6276 0.6276 0.1224
Ba: 0.7941 0.7941 0.9559
Ba: 0.8776 0.8776 0.3724
Ba: 0.9559 0.9559 0.7941
Sm: 0.2913 0.2913 0.4587
Sm: 0.4587 0.4587 0.2913
Sm: 0.5413 0.5413 0.7087
Sm: 0.7087 0.7087 0.5413
Se: 0.0364 0.5373 0.2392
Se: 0.1535 0.5965 0.5965
Se: 0.2392 0.6871 0.0364
Se: 0.3129 0.7608 0.4627
Se: 0.4035 0.8465 0.8465
Se: 0.4627 0.9636 0.3129
Se: 0.5373 0.0364 0.6871
Se: 0.5965 0.1535 0.1535
Se: 0.6871 0.2392 0.5373
Se: 0.7608 0.3129 0.9636
Se: 0.8465 0.4035 0.4035
Se: 0.9636 0.4627 0.7608



# 2
## BaSm5Se8 (PBE)

Data for crystalline BaSm5Se8 at its relaxed geometry.

Computed properties:
total moment	0.000	μB per atom
space-group type	F-43m, No. 216
raw formation energy	-1.79	eV/atom
Fermi-level density of states	3.88	states/eV/cell

Cell: 8.7629 8.7629 8.7629 Å, 60.00 60.00 60.00°
Fractional coordinates of all 14 atoms:
Ba: 0.0000 0.0000 0.0000
Sm: 0.3734 0.3734 0.3734
Sm: 0.3734 0.3734 0.8797
Sm: 0.3734 0.8797 0.3734
Sm: 0.7500 0.7500 0.7500
Sm: 0.8797 0.3734 0.3734
Se: 0.1413 0.1413 0.1413
Se: 0.1413 0.1413 0.5762
Se: 0.1413 0.5762 0.1413
Se: 0.1470 0.6177 0.6177
Se: 0.5762 0.1413 0.1413
Se: 0.6177 0.1470 0.6177
Se: 0.6177 0.6177 0.1470
Se: 0.6177 0.6177 0.6177



# 3
## Ba2SmSnSe5 (PBE)

Data for crystalline Ba2SmSnSe5 at its relaxed geometry.

Computed properties:
total moment	0.000	μB per atom
space-group type	Cmc2_1, No. 36
raw formation energy	-1.54	eV/atom
Fermi-level density of states	3.01	states/eV/cell

Cell: 9.7390 9.7390 13.3356 Å, 90.00 90.00 153.07°
Fractional coordinates of all 18 atoms:
Ba: 0.1144 0.8856 0.5000
Ba: 0.1325 0.8675 0.1295
Ba: 0.8675 0.1325 0.6295
Ba: 0.8856 0.1144 0.0000
Sm: 0.2126 0.7874 0.8366
Sm: 0.7874 0.2126 0.3366
Sn: 0.4538 0.5462 0.2677
Sn: 0.5462 0.4538 0.7677
Se: 0.0515 0.9485 0.8763
Se: 0.2876 0.7124 0.4779
Se: 0.3172 0.6828 0.1897
Se: 0.3614 0.6386 0.8176
Se: 0.4946 0.5054 0.5845
Se: 0.5054 0.4946 0.0845
Se: 0.6386 0.3614 0.3176
Se: 0.6828 0.3172 0.6897
Se: 0.7124 0.2876 0.9779
Se: 0.9485 0.0515 0.3763



# 4
## BaSr2SmSe4 (PBE)

Data for crystalline BaSr2SmSe4 at its relaxed geometry.

Computed properties:
total moment	0.000	μB per atom
space-group type	P2/m, No. 10
raw formation energy	-1.94	eV/atom
Fermi-level density of states	2.81	states/eV/cell

Cell: 7.6622 4.4149 7.7275 Å, 90.00 109.19 90.00°
Fractional coordinates of all 8 atoms:
Ba: 0.0000 0.0000 0.0000
Sr: 0.5000 0.0000 0.5000
Sr: 0.5000 0.5000 0.0000
Sm: 0.0000 0.5000 0.5000
Se: 0.2426 0.0000 0.7323
Se: 0.2526 0.5000 0.2689
Se: 0.7474 0.5000 0.7311
Se: 0.7574 0.0000 0.2677



# 5
## Ba2SrSmSe4 (PBE)

Data for crystalline Ba2SrSmSe4 at its relaxed geometry.

Computed properties:
total moment	0.000	μB per atom
space-group type	P2/m, No. 10
raw formation energy	-1.97	eV/atom
Fermi-level density of states	2.83	states/eV/cell

Cell: 7.7534 4.4601 7.8568 Å, 90.00 109.06 90.00°
Fractional coordinates of all 8 atoms:
Ba: 0.0000 0.0000 0.0000
Ba: 0.5000 0.5000 0.0000
Sr: 0.0000 0.5000 0.5000
Sm: 0.5000 0.0000 0.5000
Se: 0.2526 0.0000 0.7264
Se: 0.2681 0.5000 0.2781
Se: 0.7319 0.5000 0.7219
Se: 0.7474 0.0000 0.2736



# 6
## Ba3TbSm3Se8 (PBE)

Data for crystalline Ba3TbSm3Se8 at its relaxed geometry.

Computed properties:
total moment	0.000	μB per atom
space-group type	R-3m, No. 166
raw formation energy	-1.94	eV/atom
Fermi-level density of states	3.68	states/eV/cell

Cell: 9.0263 9.0263 9.0263 Å, 56.61 56.61 56.61°
Fractional coordinates of all 15 atoms:
Ba: 0.0000 0.5000 0.5000
Ba: 0.5000 0.0000 0.5000
Ba: 0.5000 0.5000 0.0000
Tb: 0.5000 0.5000 0.5000
Sm: 0.0000 0.0000 0.5000
Sm: 0.0000 0.5000 0.0000
Sm: 0.5000 0.0000 0.0000
Se: 0.2398 0.2398 0.2398
Se: 0.2416 0.7363 0.7363
Se: 0.2637 0.2637 0.7584
Se: 0.2637 0.7584 0.2637
Se: 0.7363 0.2416 0.7363
Se: 0.7363 0.7363 0.2416
Se: 0.7584 0.2637 0.2637
Se: 0.7602 0.7602 0.7602



# 7
## Ba3TbSm2Se6 (PBE)

Data for crystalline Ba3TbSm2Se6 at its relaxed geometry.

Computed properties:
total moment	0.000	μB per atom
space-group type	C2/m, No. 12
raw formation energy	-1.90	eV/atom
Fermi-level density of states	4.72	states/eV/cell

Cell: 7.5137 7.5137 7.8141 Å, 99.24 99.24 119.94°
Fractional coordinates of all 12 atoms:
Ba: 0.0000 0.0000 0.0000
Ba: 0.3319 0.6681 0.0000
Ba: 0.6681 0.3319 0.0000
Tb: 0.5000 0.5000 0.5000
Sm: 0.1662 0.8338 0.5000
Sm: 0.8338 0.1662 0.5000
Se: 0.0990 0.4281 0.2838
Se: 0.2437 0.2437 0.7177
Se: 0.4281 0.0990 0.2838
Se: 0.5719 0.9010 0.7162
Se: 0.7563 0.7563 0.2823
Se: 0.9010 0.5719 0.7162



# 8
## Ba2SmThSe6 (PBE)

Data for crystalline Ba2SmThSe6 at its relaxed geometry.

Computed properties:
total moment	0.000	μB per atom
space-group type	P2_1/c, No. 14
raw formation energy	-1.75	eV/atom
Fermi-level density of states	29.37	states/eV/cell

Cell: 7.5889 8.1093 13.2335 Å, 90.00 123.84 90.00°
Fractional coordinates of all 20 atoms:
Ba: 0.2185 0.0792 0.2473
Ba: 0.2185 0.4208 0.7473
Ba: 0.7815 0.5792 0.2527
Ba: 0.7815 0.9208 0.7527
Sm: 0.0000 0.0000 0.5000
Sm: 0.0000 0.5000 0.0000
Th: 0.5000 0.0000 0.0000
Th: 0.5000 0.5000 0.5000
Se: 0.1399 0.1976 0.9461
Se: 0.1399 0.3024 0.4461
Se: 0.2495 0.7019 0.9426
Se: 0.2495 0.7981 0.4426
Se: 0.3574 0.0298 0.7493
Se: 0.3574 0.4702 0.2493
Se: 0.6426 0.5298 0.7507
Se: 0.6426 0.9702 0.2507
Se: 0.7505 0.2019 0.5574
Se: 0.7505 0.2981 0.0574
Se: 0.8601 0.6976 0.5539
Se: 0.8601 0.8024 0.0539